Crystalline KNaUCl6 at its relaxed geometry. Source: Alexandria via LeMat-Bulk, functional PBE.

Calculated values
Symmetry: P-31c, No. 163
Spin magnetization in μB/atom: 0.222
Electronic total energy in eV/cell: -82.691
Energy relative to the elements, uncorrected in meV per atom: -1840.1
V in Å³/cell: 606.10

Lattice parameters (Å, degrees): 7.166 7.166 13.629 90.00 90.00 120.00
Each line ends with the local moment (μB).
Positions (direct):
Cl 0.376 0.352 0.361  -0.02
Cl 0.023 0.376 0.639  -0.02
K 0.000 0.000 0.000  0.00
Na 0.333 0.667 0.250  0.00
Cl 0.624 0.648 0.639  -0.02
U 0.667 0.333 0.250  2.06
Cl 0.376 0.023 0.139  -0.02
Cl 0.648 0.624 0.139  -0.02
Cl 0.352 0.977 0.639  -0.02
Cl 0.977 0.624 0.361  -0.02
U 0.333 0.667 0.750  2.06
Cl 0.624 0.977 0.861  -0.02
Cl 0.352 0.376 0.861  -0.02
Cl 0.648 0.023 0.361  -0.02
Na 0.667 0.333 0.750  0.00
Cl 0.023 0.648 0.861  -0.02
K 0.000 0.000 0.500  0.00
Cl 0.977 0.352 0.139  -0.02